[1]
Entry from Alexandria: a geometry-optimized LaH2Se structure (PBE).

```
LaH2Se
1.0
2.9826 -0.9838 3.0392
-1.0420 -2.6674 3.3015
1.6950 -4.0245 0.1762
H Se La
2 1 1
Direct
0.2500 0.2500 0.2500
0.7500 0.7500 0.7500
0.0000 0.0000 0.0000
0.5000 0.5000 0.5000
```

Energy above the most stable polymorph in this dataset   0.000 eV per atom
Mass density   6.19 g/cm³
Symmetry   Fm-3m (225)

=====

[2]
Entry from Alexandria: a geometry-optimized La2H4Se structure (PBE).

```
La2H4Se
1.0
-0.9122 2.1395 -3.3031
-3.6047 -0.4511 -1.7671
-4.3125 6.0448 2.6358
La H Se
2 4 1
Direct
0.2432 0.2432 0.2705
0.7568 0.7568 0.7295
0.4332 0.4332 0.7004
0.1355 0.1355 0.5935
0.5668 0.5668 0.2996
0.8645 0.8645 0.4065
0.0000 0.0000 0.0000
```

Mass density   5.63 g/cm³
Symmetry   R-3m (166)
E_tot   -33.86 eV per formula unit

=====

[3]
Entry from Alexandria: a geometry-optimized LaHSe3 structure (PBE).

```
LaHSe3
1.0
5.9138 0.0000 0.0000
0.0000 5.9138 0.0000
0.0000 0.0000 5.9138
H Se La
1 3 1
Direct
0.5000 0.5000 0.5000
0.0000 0.5000 0.0000
0.0000 0.0000 0.5000
0.5000 0.0000 0.0000
0.0000 0.0000 0.0000
```

Energy above the most stable polymorph in this dataset   0.601 eV per atom
Mass density   3.03 g/cm³
Symmetry   Pm-3m (221)